No. 1
Material: PaZnN2
Method: DFT, PBE
State: relaxed

Lattice parameters (Å, degrees): 3.6731 3.6731 17.1459 90.00 90.00 120.00
Element x y z (fractional)
Pa  0.0000  0.0000  0.0000
Pa  0.3333  0.6667  0.6667
Pa  0.6667  0.3333  0.3333
Zn  0.0000  0.0000  0.5000
Zn  0.3333  0.6667  0.1667
Zn  0.6667  0.3333  0.8333
N  0.0000  0.0000  0.3888
N  0.0000  0.0000  0.6112
N  0.3333  0.6667  0.0555
N  0.3333  0.6667  0.2778
N  0.6667  0.3333  0.7222
N  0.6667  0.3333  0.9445

Summary:
SG = No. 166
E_form (uncorrected) = -3.682 eV/f.u.

No. 2
Material: YHo12Tm7
Method: DFT, PBE
State: relaxed

Lattice parameters (Å, degrees): 9.7139 9.7139 9.7139 109.47 109.47 109.47
Element x y z (fractional)
Y  0.0000  0.0000  0.0000
Ho  0.0010  0.7471  0.2540
Ho  0.2529  0.2540  0.5069
Ho  0.2529  0.7460  0.9990
Ho  0.2540  0.0010  0.7471
Ho  0.2540  0.5069  0.2529
Ho  0.4931  0.7471  0.7460
Ho  0.5069  0.2529  0.2540
Ho  0.7460  0.4931  0.7471
Ho  0.7460  0.9990  0.2529
Ho  0.7471  0.2540  0.0010
Ho  0.7471  0.7460  0.4931
Ho  0.9990  0.2529  0.7460
Tm  0.0000  0.0000  0.5000
Tm  0.0000  0.5000  0.0000
Tm  0.0000  0.5000  0.5000
Tm  0.5000  0.0000  0.0000
Tm  0.5000  0.0000  0.5000
Tm  0.5000  0.5000  0.0000
Tm  0.5000  0.5000  0.5000

Summary:
formation energy from the elements = 0.74 eV per atom
polymorph energy (0 for the lowest one) = 0.4240 eV/atom
SG = No. 204

No. 3
Material: AsBrOF2
Method: DFT, PBE
State: relaxed

Lattice parameters (Å, degrees): 4.5359 4.5359 4.0882 90.00 90.00 90.00
Element x y z (fractional)
As  0.0000  0.0000  0.0000
Br  0.5000  0.5000  0.5000
O  0.5000  0.5000  0.0000
F  0.0000  0.5000  0.5000
F  0.5000  0.0000  0.5000

Summary:
polymorph energy (0 for the lowest one) = 1.0158 eV/atom
SG = No. 123
E_form (uncorrected) = 1.625 eV/f.u.

No. 4
Material: BeReTc
Method: DFT, PBE
State: relaxed

Lattice parameters (Å, degrees): 3.0020 3.0020 8.4711 90.00 90.00 90.00
Element x y z (fractional)
Be  0.0000  0.0000  0.0000
Be  0.5000  0.5000  0.5000
Re  0.0000  0.0000  0.6613
Re  0.5000  0.5000  0.1613
Tc  0.0000  0.0000  0.3377
Tc  0.5000  0.5000  0.8377

Summary:
formation energy from the elements = -0.14 eV per atom
polymorph energy (0 for the lowest one) = 0.1433 eV/atom
SG = No. 107

no.,magnetization (Bohr magnetons per cell)
1,0.00
2,0.00
3,1.71
4,0.00